# Sc2OsSe PBE optimized geometry
# Total magnetic moment, μB/f.u.: 0.00
# ΔE_f (raw), eV/atom: -0.495
data_Sc2OsSe
_cell_length_a 3.8187
_cell_length_b 3.8187
_cell_length_c 9.8776
_cell_angle_alpha 90.00
_cell_angle_beta 90.00
_cell_angle_gamma 90.00
_space_group_name_H-M_alt 'I -4 m 2'
_space_group_IT_number 119
_space_group_name_Hall 'I -4 -2'
loop_
_atom_site_label
_atom_site_fract_x
_atom_site_fract_y
_atom_site_fract_z
Sc1 0.0000 0.0000 0.0000
Sc2 0.0000 0.5000 0.2500
Os1 0.0000 0.0000 0.5000
Se1 0.0000 0.5000 0.7500